## Na3TaAs3 (PBE)

Data for a relaxed Na3TaAs3 crystal.

```
Na3TaAs3
1.0
4.157 -6.686 0.000
4.157 6.686 0.000
-2.291 0.000 6.812
Na Ta As
6 2 6
direct
0.158 0.842 0.000
0.240 0.760 0.500
0.389 0.389 0.169
0.611 0.611 0.831
0.760 0.240 0.500
0.842 0.158 0.000
0.192 0.192 0.678
0.808 0.808 0.322
0.109 0.109 0.311
0.196 0.499 0.825
0.499 0.196 0.825
0.501 0.804 0.175
0.804 0.501 0.175
0.891 0.891 0.689
```

Values from the calculation:
Its total energy is -4.586 eV per atom.